LiNdScAg | GGA-PBE | relaxed

Lattice parameters (Å, degrees): 5.115 5.115 5.115 60.00 60.00 60.00
Sites, in units of the cell vectors:
Ag: 0.250 0.250 0.250
Sc: 0.500 0.500 0.500
Li: 0.750 0.750 0.750
Nd: 0.000 0.000 0.000

- V (Å³/atom) = 23.662
- raw total energy (eV/atom) = -4.01
- energy relative to the elements (eV/atom) = -0.040
- space group = No. 216

---

LiNd2AgSe4 | GGA-PBE | relaxed

Lattice parameters (Å, degrees): 4.259 6.945 7.381 68.89 90.00 90.00
Sites, in units of the cell vectors:
Li: 0.000 0.500 0.500
Se: 0.000 0.743 0.750
Se: 0.500 0.256 0.743
Se: 0.500 0.744 0.257
Se: 0.000 0.257 0.250
Nd: 0.500 0.000 0.500
Nd: 0.000 0.000 0.000
Ag: 0.500 0.500 0.000

- V (Å³/atom) = 25.463
- raw total energy (eV/atom) = -4.94
- E_form (uncorrected) (eV per formula unit) = -11.25
- space group = No. 10

---

LiNdThAg | GGA-PBE | relaxed

Lattice parameters (Å, degrees): 5.303 5.303 5.303 60.00 60.00 60.00
Site moments in Bohr magnetons follow the coordinates.
Sites, in units of the cell vectors:
Th: 0.500 0.500 0.500  0.28
Nd: 0.000 0.000 0.000  0.22
Li: 0.750 0.750 0.750  0.02
Ag: 0.250 0.250 0.250  0.05

- V (Å³/atom) = 26.369
- raw total energy (eV/atom) = -4.16
- energy relative to the elements (eV/atom) = 0.079
- space group = No. 216

---

Li2NdTl2Ag2 | GGA-PBE | relaxed

Lattice parameters (Å, degrees): 4.888 4.888 7.986 72.18 72.18 60.00
Sites, in units of the cell vectors:
Ag: 0.566 0.566 0.303
Ag: 0.434 0.434 0.697
Tl: 0.734 0.734 0.799
Tl: 0.266 0.266 0.201
Li: 0.144 0.144 0.569
Li: 0.856 0.856 0.431
Nd: 0.000 0.000 0.000

- V (Å³/atom) = 22.082
- raw total energy (eV/atom) = -2.91
- energy relative to the elements (eV/atom) = -0.191
- space group = No. 166

---

LiNdTlAg | GGA-PBE | relaxed

Lattice parameters (Å, degrees): 5.140 5.140 5.140 60.00 60.00 60.00
Sites, in units of the cell vectors:
Nd: 0.250 0.250 0.250
Li: 0.750 0.750 0.750
Ag: 0.000 0.000 0.000
Tl: 0.500 0.500 0.500

- V (Å³/atom) = 24.003
- raw total energy (eV/atom) = -3.25
- energy relative to the elements (eV/atom) = -0.273
- space group = No. 216

---

LiNdTlAg | GGA-PBE | relaxed

Lattice parameters (Å, degrees): 5.011 5.011 5.011 60.00 60.00 60.00
Sites, in units of the cell vectors:
Ag: 0.750 0.750 0.750
Tl: 0.000 0.000 0.000
Nd: 0.500 0.500 0.500
Li: 0.250 0.250 0.250

- V (Å³/atom) = 22.240
- raw total energy (eV/atom) = -3.27
- energy relative to the elements (eV/atom) = -0.293
- space group = No. 216

---

Li4NdTl2Ag | GGA-PBE | relaxed

Lattice parameters (Å, degrees): 4.912 4.912 8.446 73.10 73.10 60.00
Sites, in units of the cell vectors:
Nd: 0.000 0.000 0.000
Tl: 0.741 0.741 0.778
Tl: 0.259 0.259 0.222
Li: 0.394 0.394 0.818
Li: 0.861 0.861 0.416
Li: 0.139 0.139 0.584
Li: 0.606 0.606 0.182
Ag: 0.500 0.500 0.500

- V (Å³/atom) = 20.775
- raw total energy (eV/atom) = -2.69
- energy relative to the elements (eV/atom) = -0.192
- space group = No. 166

---

LiNdTmAg | GGA-PBE | relaxed

Lattice parameters (Å, degrees): 5.222 5.222 5.222 60.00 60.00 60.00
Sites, in units of the cell vectors:
Li: 0.750 0.750 0.750
Nd: 0.500 0.500 0.500
Ag: 0.250 0.250 0.250
Tm: 0.000 0.000 0.000

- V (Å³/atom) = 25.172
- raw total energy (eV/atom) = -3.58
- energy relative to the elements (eV/atom) = -0.077
- space group = No. 216

---

LiNdZnAg | GGA-PBE | relaxed

Lattice parameters (Å, degrees): 4.630 5.443 5.439 129.96 115.19 90.00
Sites, in units of the cell vectors:
Ag: 0.289 0.711 0.578
Nd: 0.500 0.500 0.000
Li: 0.997 0.003 0.993
Zn: 0.715 0.286 0.429

- V (Å³/atom) = 21.844
- raw total energy (eV/atom) = -2.92
- energy relative to the elements (eV/atom) = -0.218
- space group = No. 8

---

Li2NiAg2 | GGA-PBE | relaxed

Lattice parameters (Å, degrees): 6.844 6.844 3.075 90.00 90.00 90.00
Sites, in units of the cell vectors:
Ag: 0.827 0.327 0.500
Ag: 0.327 0.173 0.500
Ag: 0.173 0.673 0.500
Ag: 0.673 0.827 0.500
Li: 0.631 0.131 0.000
Li: 0.369 0.869 0.000
Li: 0.869 0.631 0.000
Li: 0.131 0.369 0.000
Ni: 0.000 0.000 0.000
Ni: 0.500 0.500 0.000

- V (Å³/atom) = 14.404
- raw total energy (eV/atom) = -2.97
- energy relative to the elements (eV/atom) = 0.095
- space group = No. 127

---

LiNi2Ag | GGA-PBE | relaxed

Lattice parameters (Å, degrees): 3.464 3.464 9.475 79.47 79.47 90.00
Site moments in Bohr magnetons follow the coordinates.
Sites, in units of the cell vectors:
Li: 0.500 0.500 0.000  0.00
Li: 0.250 0.750 0.500  0.00
Ni: 0.875 0.865 0.750  0.23
Ni: 0.615 0.125 0.250  0.22
Ni: 0.135 0.625 0.250  0.22
Ni: 0.375 0.385 0.750  0.23
Ag: 0.000 0.000 0.000  0.00
Ag: 0.750 0.250 0.500  0.00

- V (Å³/atom) = 13.729
- raw total energy (eV/atom) = -3.76
- energy relative to the elements (eV/atom) = 0.318
- space group = No. 122

---

LiNiAg2 | GGA-PBE | relaxed

Lattice parameters (Å, degrees): 4.859 4.859 4.709 79.47 79.47 33.39
Sites, in units of the cell vectors:
Ag: 0.993 0.993 0.033
Ag: 0.751 0.751 0.727
Li: 0.507 0.507 0.508
Ni: 0.249 0.249 0.233

- V (Å³/atom) = 15.013
- raw total energy (eV/atom) = -3.32
- energy relative to the elements (eV/atom) = 0.027
- space group = No. 8

---

no.,ρ (g/cm3)
1,5.3
2,5.9
3,7.7
4,8.4
5,8.0
6,8.7
7,6.9
8,7.1
9,6.2
10,6.6
11,7.0
12,7.8